1.
Material: PdW
Method: DFT, PBE
State: optimized geometry

Calculated values
Its density of states at the Fermi level is 1.334 states/eV/atom. For the calculated volume, the calculation gives 28.3 Å³/atom. The formation energy comes out at 1.8915 eV per atom.

Cell: 6.9749 6.9749 6.9749 Å, 90.00 90.00 90.00°
Last column: nearest neighbours and their distance in Å.
Space group Pm-3n (No. 223)
Unique sites:
Pd 0.0000 0.2500 0.5000 (multiplicity 6)  4 W 2.47
W 0.0000 0.5000 0.2500 (multiplicity 6)  4 Pd 2.47

2.
Material: PdW
Method: DFT, PBE
State: optimized geometry

Calculated values
Its density of states at the Fermi level is 0.768 states/eV/atom. For the calculated volume, the calculation gives 20.5 Å³/atom. The formation energy comes out at 0.7398 eV per atom.

Cell: 10.5633 10.5633 2.9368 Å, 90.00 90.00 90.00°
Last column: nearest neighbours and their distance in Å.
Space group I4/m (No. 87)
Unique sites:
Pd 0.0279 0.8137 0.0000 (multiplicity 8)  3 W 2.57-2.65, 2 Pd 2.81
W 0.1802 0.3115 0.0000 (multiplicity 8)  2 W 2.45, 3 Pd 2.57-2.65

3.
Material: Pd8W3
Method: DFT, PBE
State: optimized geometry

Calculated values
Its density of states at the Fermi level is 0.796 states/eV/atom. For the calculated volume, the calculation gives 18.0 Å³/atom. The formation energy comes out at 0.6748 eV per atom.

Cell: 8.7929 8.7929 8.8732 Å, 90.00 90.00 120.00°
Last column: nearest neighbours and their distance in Å.
Space group R-3 (No. 148, hexagonal axes)
Unique sites:
Pd 0.0000 0.0000 0.1516 (multiplicity 6)  3 W 2.54, 1 Pd 2.69
Pd 0.0149 0.2362 0.4014 (multiplicity 18)  2 W 2.51-2.54, 3 Pd 2.63-2.67
W 0.0000 0.5000 0.5000 (multiplicity 9)  6 Pd 2.51-2.54